Density functional theory data (PBE-GGA) for a relaxed PmDyIrAu crystal.

## Properties
Uncorrected energy = -6.1549 eV/atom
Energy relative to the elements = -302 kJ/mol of formula units
ΔE to the lowest computed polymorph = 0.0 meV per atom

Structure (CIF):
```
data_PmDyIrAu
_cell_length_a 4.5659
_cell_length_b 3.8587
_cell_length_c 10.6695
_cell_angle_alpha 90.00
_cell_angle_beta 90.00
_cell_angle_gamma 90.00
_space_group_name_H-M_alt 'A m m 2'
_space_group_IT_number 38
loop_
_space_group_symop_operation_xyz
'x,y,z'
'-x,-y,z'
'-x,y,z'
'x,-y,z'
'x,y+1/2,z+1/2'
'-x,-y+1/2,z+1/2'
'-x,y+1/2,z+1/2'
'x,-y+1/2,z+1/2'
loop_
_atom_site_label
_atom_site_type_symbol
_atom_site_fract_x
_atom_site_fract_y
_atom_site_fract_z
_atom_site_occupancy
Pm1 Pm 0.0000 0.0000 0.0000 1
Dy1 Dy 0.5000 0.0000 0.7211 1
Ir1 Ir 0.0000 0.0000 0.2680 1
Au1 Au 0.5000 0.0000 0.4398 1
```